Entry 1:
The following is a PBE calculation of a relaxed CsMnPd3 crystal, from Alexandria.

Values from the calculation:
ΔH_f (0 K) = 1.61 eV per atom
symmetry = No. 221
total magnetic moment = 5.13 Bohr magnetons per cell
DOS(E_F) = 3.902 states/eV per cell
energy above the most stable polymorph in this dataset = 1173 meV/atom
uncorrected energy = -0.1291 Ha/atom

a b c (Å): 5.266 5.266 5.266
angles (deg): 90.00 90.00 90.00
Each line ends with the local moment (μB).
Atoms (fractional coordinates):
Cs: 0.000 0.000 0.000  0.01
Pd: 0.000 0.000 0.500  0.04
Pd: 0.500 0.000 0.000  0.12
Pd: 0.000 0.500 0.000  0.04
Mn: 0.500 0.500 0.500  4.53


Entry 2:
The following is a PBE calculation of a relaxed CsMnPd2Rh crystal, from Alexandria.

Values from the calculation:
ΔH_f (0 K) = 0.62 eV per atom
symmetry = No. 123
total magnetic moment = 3.82 Bohr magnetons per cell
DOS(E_F) = 3.543 states/eV per cell
uncorrected energy = -0.1813 Ha/atom

a b c (Å): 4.978 4.609 4.978
angles (deg): 90.00 90.00 90.00
Each line ends with the local moment (μB).
Atoms (fractional coordinates):
Pd: 0.500 0.000 0.000  0.13
Pd: 0.000 0.000 0.500  0.27
Mn: 0.000 0.000 0.000  3.31
Cs: 0.500 0.500 0.500  -0.01
Rh: 0.000 0.500 0.000  0.01


Entry 3:
The following is a PBE calculation of a relaxed Cs2MnPdS4 crystal, from Alexandria.

Values from the calculation:
symmetry = No. 70
total magnetic moment = 2.17 Bohr magnetons per cell
DOS(E_F) = 7.993 states/eV per cell
uncorrected formation energy = -0.7742 eV/atom
uncorrected energy = -0.1781 Ha/atom

a b c (Å): 5.428 7.746 12.397
angles (deg): 85.60 77.35 69.49
Each line ends with the local moment (μB).
Atoms (fractional coordinates):
S: 0.856 0.823 0.895  -0.03
S: 0.321 0.823 0.105  -0.03
S: 0.176 0.323 0.395  -0.03
S: 0.501 0.323 0.605  -0.03
S: 0.249 0.177 0.895  -0.03
S: 0.429 0.677 0.395  -0.03
S: 0.574 0.177 0.105  -0.03
S: 0.894 0.677 0.605  -0.03
Mn: 0.250 0.500 0.500  1.34
Mn: 0.500 0.000 0.000  1.34
Cs: 0.573 0.500 0.854  0.00
Cs: 0.177 0.000 0.646  0.00
Cs: 0.823 0.000 0.354  0.00
Cs: 0.927 0.500 0.146  0.00
Pd: 0.750 0.500 0.500  -0.21
Pd: 0.000 0.000 0.000  -0.21


Entry 4:
The following is a PBE calculation of a relaxed Cs2MnTe4Pd crystal, from Alexandria.

Values from the calculation:
symmetry = No. 70
total magnetic moment = 6.24 Bohr magnetons per cell
DOS(E_F) = 8.115 states/eV per cell
uncorrected formation energy = -0.5418 eV/atom
uncorrected energy = -0.1515 Ha/atom

a b c (Å): 6.571 7.823 13.300
angles (deg): 84.05 75.70 65.17
Each line ends with the local moment (μB).
Atoms (fractional coordinates):
Te: 0.510 0.329 0.627  -0.06
Te: 0.863 0.671 0.627  -0.06
Te: 0.161 0.329 0.373  -0.06
Te: 0.240 0.171 0.873  -0.06
Te: 0.589 0.171 0.127  -0.06
Te: 0.466 0.671 0.373  -0.06
Te: 0.284 0.829 0.127  -0.06
Te: 0.887 0.829 0.873  -0.06
Cs: 0.938 0.500 0.124  0.00
Cs: 0.812 0.000 0.376  0.00
Cs: 0.562 0.500 0.876  0.00
Cs: 0.188 0.000 0.624  0.00
Mn: 0.500 0.000 0.000  3.21
Mn: 0.250 0.500 0.500  3.21
Pd: 0.750 0.500 0.500  -0.06
Pd: 0.000 0.000 0.000  -0.06


Copy entry 4 word for word.
The following is a PBE calculation of a relaxed Cs2MnTe4Pd crystal, from Alexandria.

Values from the calculation:
symmetry = No. 70
total magnetic moment = 6.24 Bohr magnetons per cell
DOS(E_F) = 8.115 states/eV per cell
uncorrected formation energy = -0.5418 eV/atom
uncorrected energy = -0.1515 Ha/atom

a b c (Å): 6.571 7.823 13.300
angles (deg): 84.05 75.70 65.17
Each line ends with the local moment (μB).
Atoms (fractional coordinates):
Te: 0.510 0.329 0.627  -0.06
Te: 0.863 0.671 0.627  -0.06
Te: 0.161 0.329 0.373  -0.06
Te: 0.240 0.171 0.873  -0.06
Te: 0.589 0.171 0.127  -0.06
Te: 0.466 0.671 0.373  -0.06
Te: 0.284 0.829 0.127  -0.06
Te: 0.887 0.829 0.873  -0.06
Cs: 0.938 0.500 0.124  0.00
Cs: 0.812 0.000 0.376  0.00
Cs: 0.562 0.500 0.876  0.00
Cs: 0.188 0.000 0.624  0.00
Mn: 0.500 0.000 0.000  3.21
Mn: 0.250 0.500 0.500  3.21
Pd: 0.750 0.500 0.500  -0.06
Pd: 0.000 0.000 0.000  -0.06